No. 1
This record from Alexandria describes a relaxed structure of YRuRh2. The functional is PBE.

a = 2.905 Å, b = 2.905 Å, c = 27.468 Å
α = 90.00°, β = 90.00°, γ = 120.00°
Fractional positions:
Y 0.000 0.000 0.000
Y 0.333 0.667 0.667
Y 0.667 0.333 0.333
Ru 0.000 0.000 0.500
Ru 0.333 0.667 0.167
Ru 0.667 0.333 0.833
Rh 0.000 0.000 0.243
Rh 0.000 0.000 0.757
Rh 0.333 0.667 0.423
Rh 0.333 0.667 0.910
Rh 0.667 0.333 0.090
Rh 0.667 0.333 0.577

**Polymorph energy (0 for the lowest one)**: 501 meV per atom
**Magnetization**: 0.00 μB/atom
**DOS at the Fermi energy**: 1.266 states/eV per atom
**Mass density**: 9.82 Mg/m³



No. 2
This record from Alexandria describes a relaxed structure of YRu2Rh. The functional is PBE.

a = 2.965 Å, b = 4.758 Å, c = 4.870 Å
α = 90.00°, β = 98.08°, γ = 90.00°
Fractional positions:
Y 0.000 0.000 0.000
Ru 0.313 0.500 0.729
Ru 0.687 0.500 0.271
Rh 0.500 0.000 0.500

**Polymorph energy (0 for the lowest one)**: 150 meV per atom
**Magnetization**: 0.00 μB/atom
**DOS at the Fermi energy**: 1.765 states/eV per atom
**Mass density**: 9.62 Mg/m³



No. 3
This record from Alexandria describes a relaxed structure of YRuRh. The functional is PBE.

a = 3.023 Å, b = 3.797 Å, c = 9.746 Å
α = 90.00°, β = 90.00°, γ = 90.00°
Fractional positions:
Y 0.000 0.000 0.000
Y 0.500 0.500 0.500
Ru 0.000 0.000 0.300
Ru 0.500 0.500 0.800
Rh 0.000 0.000 0.701
Rh 0.500 0.500 0.201

**Polymorph energy (0 for the lowest one)**: 424 meV per atom
**Magnetization**: 0.00 μB/atom
**DOS at the Fermi energy**: 1.067 states/eV per atom
**Mass density**: 8.70 Mg/m³



No. 4
This record from Alexandria describes a relaxed structure of YRuRh2. The functional is PBE.

a = 3.387 Å, b = 3.387 Å, c = 6.042 Å
α = 90.00°, β = 90.00°, γ = 90.00°
Fractional positions:
Y 0.000 0.000 0.000
Ru 0.000 0.000 0.500
Rh 0.500 0.500 0.285
Rh 0.500 0.500 0.715

**Polymorph energy (0 for the lowest one)**: 160 meV per atom
**Magnetization**: 0.24 μB/atom
**DOS at the Fermi energy**: 1.322 states/eV per atom
**Mass density**: 9.48 Mg/m³



No. 5
This record from Alexandria describes a relaxed structure of YRuRh2. The functional is PBE.

a = 4.093 Å, b = 4.093 Å, c = 3.974 Å
α = 90.00°, β = 90.00°, γ = 90.00°
Fractional positions:
Y 0.000 0.000 0.000
Ru 0.500 0.500 0.000
Rh 0.000 0.500 0.500
Rh 0.500 0.000 0.500

**Polymorph energy (0 for the lowest one)**: 0 meV per atom
**Magnetization**: 0.00 μB/atom
**DOS at the Fermi energy**: 1.083 states/eV per atom
**Mass density**: 9.87 Mg/m³



No. 6
This record from Alexandria describes a relaxed structure of YRuRh2. The functional is PBE.

a = 2.997 Å, b = 2.997 Å, c = 7.575 Å
α = 90.00°, β = 90.00°, γ = 90.00°
Fractional positions:
Y 0.000 0.000 0.000
Ru 0.500 0.500 0.707
Rh 0.000 0.000 0.503
Rh 0.500 0.500 0.270

**Polymorph energy (0 for the lowest one)**: 230 meV per atom
**Magnetization**: 0.00 μB/atom
**DOS at the Fermi energy**: 0.790 states/eV per atom
**Mass density**: 9.66 Mg/m³